{
  "formula": "BaYZn2",
  "functional": "meta-GGA SCAN",
  "state": "PBEsol geometry",
  "space_group": "I-4m2",
  "e_form_kj_per_mol_fu": 44.5,
  "de_polymorph_ev_per_atom": 0.410,
  "lattice_angstrom": [[4.4532, 0.0000, 0.0000], [0.0000, 4.4532, 0.0000], [-2.2266, -2.2266, 5.1924]],
  "species": ["Ba", "Y", "Zn", "Zn"],
  "frac_coords": [[0.5000, 0.5000, 0.0000], [0.2500, 0.7500, 0.5000], [0.0000, 0.0000, 0.0000], [0.7500, 0.2500, 0.5000]]
}